(1)
A geometry-optimized Nd5Sm4Er3 structure, computed with PBE-GGA.

a = 5.499 Å, b = 6.400 Å, c = 13.344 Å
α = 93.37°, β = 78.11°, γ = 64.56°
Each line ends with the local moment (μB).
Sites, in units of the cell vectors:
Nd (0.460, 0.949, 0.132)  0.00
Nd (0.500, 0.500, 0.500)  0.05
Nd (0.086, 0.588, 0.239)  0.00
Nd (0.914, 0.412, 0.761)  0.00
Nd (0.540, 0.051, 0.868)  0.00
Sm (0.828, 0.309, 0.034)  0.00
Sm (0.242, 0.801, 0.714)  0.00
Sm (0.758, 0.199, 0.286)  0.00
Sm (0.172, 0.691, 0.966)  0.00
Er (0.669, 0.061, 0.600)  0.00
Er (0.000, 0.500, 0.500)  0.07
Er (0.331, 0.939, 0.400)  0.00

Summary:
D(E_F) (states/eV per atom): 1.3079
Energy relative to the elements (eV per formula unit): 2.584
SG: No. 12
Electronic total energy (eV per atom): -4.49


(2)
A geometry-optimized NdSm5Er structure, computed with PBE-GGA.

a = 6.245 Å, b = 8.013 Å, c = 7.772 Å
α = 121.03°, β = 113.69°, γ = 90.00°
Sites, in units of the cell vectors:
Nd (0.930, 0.000, 0.000)
Sm (0.190, 0.253, 0.505)
Sm (0.168, 0.500, 0.000)
Sm (0.685, 0.747, 0.495)
Sm (0.432, 0.820, 0.000)
Sm (0.432, 0.180, 0.000)
Er (0.695, 0.500, 0.000)

Summary:
D(E_F) (states/eV per atom): 1.2693
Energy relative to the elements (eV per formula unit): 6.146
SG: No. 44
Electronic total energy (eV per atom): -3.83


| no. | spin magnetization (μB per formula unit) |
| --- | --- |
| 1 | 0.123 |
| 2 | 0.000 |